1.
First-principles (PBE-GGA) data for a geometry-optimized Zn2FeSe structure, as listed in the Alexandria database.

V: 65.5 Å³/cell
energy relative to the elements, uncorrected: 0.16 eV/atom
magnetic moment: 1.97 Bohr magnetons per cell
energy: -13.9 eV/cell

a = 2.7407 Å, b = 2.7407 Å, c = 8.7152 Å
α = 90.00°, β = 90.00°, γ = 89.24°
Atoms (fractional coordinates):
Fe  0.5000  0.5000  0.2500
Se  0.5000  0.5000  0.7500
Zn  0.0000  0.0000  0.0550
Zn  0.0000  0.0000  0.4450

=====

2.
First-principles (PBE-GGA) data for a geometry-optimized Ba3AgBi structure, as listed in the Alexandria database.

V: 244.2 Å³/cell
magnetic moment: 0.00 Bohr magnetons per cell
energy: -13.7 eV/cell
distance to the lowest polymorph of the same formula: 0.637 eV per formula unit
ΔE_f: -0.238 eV/atom

a = 6.2507 Å, b = 6.2507 Å, c = 6.2507 Å
α = 90.00°, β = 90.00°, γ = 90.00°
Atoms (fractional coordinates):
Bi  0.5000  0.5000  0.5000
Ag  0.0000  0.0000  0.0000
Ba  0.0000  0.5000  0.0000
Ba  0.0000  0.0000  0.5000
Ba  0.5000  0.0000  0.0000